{
  "formula": "Rb3MnCu2F9",
  "functional": "PBE with a Hubbard U",
  "state": "relaxed",
  "dos_ef_per_ev_cell": 3.28,
  "total_energy_ev_per_atom": -4.6710,
  "lattice": [[5.9215, 0.0000, 0.0000], [-2.9607, 5.1282, 0.0000], [0.0000, 0.0000, 7.2541]],
  "species": ["F", "F", "F", "F", "F", "F", "F", "F", "F", "Rb", "Rb", "Rb", "Cu", "Cu", "Mn"],
  "frac_coords": [[0.5000, 0.5000, 0.0000], [0.3345, 0.1673, 0.6674], [0.5000, 0.0000, 0.0000], [0.0000, 0.5000, 0.0000], [0.6655, 0.8327, 0.3326], [0.8327, 0.6655, 0.6674], [0.1673, 0.8327, 0.3326], [0.8327, 0.1673, 0.6674], [0.1673, 0.3345, 0.3326], [0.6667, 0.3333, 0.3283], [0.3333, 0.6667, 0.6717], [0.0000, 0.0000, 0.0000], [0.6667, 0.3333, 0.8368], [0.3333, 0.6667, 0.1632], [0.0000, 0.0000, 0.5000]]
}